Here is crystalline CdH2W at its relaxed geometry from Alexandria via LeMat-Bulk. Energies are from PBE.

Unit cell a=5.595 b=5.595 c=5.595 alpha=90.00 beta=90.00 gamma=90.00
Positions (direct):
Cd 0.000 0.000 0.000
Cd 0.000 0.500 0.500
Cd 0.500 0.000 0.500
Cd 0.500 0.500 0.000
H 0.250 0.250 0.250
H 0.250 0.250 0.750
H 0.250 0.750 0.250
H 0.250 0.750 0.750
H 0.750 0.250 0.250
H 0.750 0.250 0.750
H 0.750 0.750 0.250
H 0.750 0.750 0.750
W 0.000 0.000 0.500
W 0.000 0.500 0.000
W 0.500 0.000 0.000
W 0.500 0.500 0.500

SG ... No. 225
Offset from the most stable computed form ... 0.819 eV per atom